No. 1
6
Lattice="4.3914 -0.0002 -0.8437 -0.4548 6.1554 -2.3685 -0.5759 -0.1854 8.8552" Properties=species:S:1:pos:R:3 comment="Sr3GaI2 | the Alexandria database | GGA-PBE | relaxed" raw_formation_energy_ev_per_atom=-0.977 magmom_total_mub_per_cell=0.00 pbc="T T T"
Ga 2.1957 -0.0001 -0.4219
I 3.0704 1.8160 4.1299
I 0.2903 4.1538 1.5130
Sr 0.3888 0.8074 2.0237
Sr 2.9719 5.1624 3.6193
Sr 1.9683 3.0776 -1.6061


No. 2
6
Lattice="-1.3944 -4.7457 -2.0543 3.3938 -2.4482 3.3468 -1.7192 -1.6008 4.8620" Properties=species:S:1:pos:R:3 comment="PmYAg4 | the Alexandria database | GGA-PBE | relaxed" e_above_lowest_polymorph_ev_per_atom=0.0000 magmom_total_mub_per_cell=0.00 formation_enthalpy_0k_ev_per_atom=-0.287 pbc="T T T"
Ag -1.0299 -4.5313 4.1624
Ag 1.3351 -4.2705 1.9550
Ag 0.3086 -0.6763 1.3330
Ag 1.3907 -3.3790 6.8379
Y -1.5445 -3.1768 1.3854
Pm 0.8497 -2.0279 4.0855


No. 3
5
Lattice="-3.5494 -1.9029 2.3026 2.9656 -1.6502 3.2076 -0.4934 3.9003 2.4628" Properties=species:S:1:pos:R:3 comment="MoOs2RuC | the Alexandria database | GGA-PBE | relaxed" e_above_lowest_polymorph_ev_per_atom=0.8813 magmom_total_mub_per_cell=0.87 formation_enthalpy_0k_ev_per_atom=3.326 pbc="T T T"
Os -1.7747 -0.9515 1.1513
Os -0.2467 1.9501 1.2314
Mo 1.4828 -0.8251 1.6038
Ru 0.0000 0.0000 0.0000
C -0.5386 0.1736 3.9865


No. 4
5
Lattice="-1.6637 2.9741 2.3546 -3.6868 -1.8729 -0.2392 1.2250 -3.0069 4.6636" Properties=species:S:1:pos:R:3 comment="HfTaTeN2 | the Alexandria database | GGA-PBE | relaxed" raw_formation_energy_ev_per_atom=0.770 e_above_lowest_polymorph_ev_per_atom=0.4854 magmom_total_mub_per_cell=1.22 pbc="T T T"
Te 0.6125 -1.5034 2.3318
Hf 0.0000 0.0000 0.0000
N -0.8318 1.4871 1.1773
N -1.8434 -0.9365 -0.1196
Ta -2.0627 -0.9528 3.3895


No. 5
4
Lattice="4.5874 0.0000 0.0000 2.2937 3.9728 0.0000 2.2937 1.3243 3.7456" Properties=species:S:1:pos:R:3 comment="YNi2Au | the Alexandria database | GGA-PBE | relaxed" magmom_total_mub_per_cell=0.00 formation_enthalpy_0k_ev_per_atom=-0.190 pbc="T T T"
Ni 0.0000 0.0000 0.0000
Ni 6.8810 3.9728 2.8092
Y 2.2937 1.3243 0.9364
Au 4.5874 2.6485 1.8728


No. 6
12
Lattice="-1.2274 -0.6302 -5.8609 5.3404 -1.7485 2.1624 -2.8952 -7.1429 1.3743" Properties=species:S:1:pos:R:3 comment="Ce3Ge6IrPd2 | the Alexandria database | GGA-PBE | relaxed" magmom_total_mub_per_cell=1.17 formation_enthalpy_0k_ev_per_atom=-0.455 pbc="T T T"
Ce -0.0739 -3.5583 -2.6948
Ce 1.2917 -5.9633 0.3707
Ce 0.0000 0.0000 0.0000
Ge 0.2934 -6.6586 -2.4383
Ge -2.0450 -5.8930 -3.3852
Ge -1.5075 -5.6171 -0.8189
Ge 0.9244 -2.8629 0.1142
Ge 3.2628 -3.6286 1.0611
Ge 2.7253 -3.9045 -1.5052
Ir -1.4476 -3.5714 0.6872
Pd 3.1195 -1.4539 -0.4970
Pd -1.9017 -8.0677 -1.8271


No. 7
8
Lattice="-5.9614 1.4691 -1.0780 -0.5049 -5.0561 -4.0984 -2.1530 -4.4833 5.7962" Properties=species:S:1:pos:R:3 comment="Ca3Y | the Alexandria database | GGA-PBE | relaxed" e_above_lowest_polymorph_ev_per_atom=0.0960 magmom_total_mub_per_cell=0.92 formation_enthalpy_0k_ev_per_atom=0.125 pbc="T T T"
Ca -1.7036 -4.2523 3.6262
Ca -3.1504 -0.9647 -1.9163
Ca -3.9351 -4.5529 -2.4669
Ca -1.4117 -5.5986 0.1771
Ca -0.6270 -2.0104 0.7277
Ca -5.0114 -6.7942 0.4308
Y -4.2236 -3.1735 1.0084
Y -0.3385 -3.3898 -2.7477


No. 8
5
Lattice="4.7840 0.0000 0.0000 0.0000 4.7840 0.0000 0.0000 0.0000 4.7840" Properties=species:S:1:pos:R:3 comment="Ta3TiTc | the Alexandria database | GGA-PBE | relaxed" e_above_lowest_polymorph_ev_per_atom=1.3532 magmom_total_mub_per_cell=0.93 formation_enthalpy_0k_ev_per_atom=1.155 pbc="T T T"
Ti 2.3920 2.3920 2.3920
Ta 0.0000 0.0000 2.3920
Ta 2.3920 0.0000 0.0000
Ta 0.0000 2.3920 0.0000
Tc 0.0000 0.0000 0.0000


No. 9
8
Lattice="-4.1100 -1.6118 -1.1200 2.9970 -2.8846 -6.8465 2.6120 -7.5455 1.2737" Properties=species:S:1:pos:R:3 comment="La4TlSb2Te | the Alexandria database | GGA-PBE | relaxed" raw_formation_energy_ev_per_atom=-1.112 magmom_total_mub_per_cell=0.00 pbc="T T T"
La 4.2160 -7.8065 -4.2369
La -2.7171 -4.2354 -2.4559
La 0.8616 -4.8586 -5.4307
La 0.6373 -7.1833 -1.2621
Te 2.8045 -5.2151 -2.7863
Sb 2.6120 -7.5455 1.2737
Sb -0.7490 -4.5787 0.0768
Tl -0.5565 -2.2482 -3.9833


Record order is preserved below.
Uncorrected energy: -0.209; -0.298; -0.517; -0.555; -0.405; -0.430; -0.220; -0.706; -0.389 Ry/atom